A plane-wave DFT calculation with GGA-PBE was carried out for crystalline K3TeH at its relaxed geometry.

The structure in extended XYZ format:
```
10
Lattice="-3.032 -2.855 -4.383 6.386 -3.131 -2.378 -0.744 -5.207 4.859" Properties=species:S:1:pos:R:3 pbc="T T T"
Te 1.912 -8.046 -2.006
K 1.738 -6.714 1.695
K 3.701 -5.155 -1.012
K -1.449 -5.151 2.881
H -0.868 -7.252 1.306
H 3.478 -3.940 -3.208
K 0.872 -4.479 -3.596
K 4.059 -6.041 -4.783
K -1.090 -6.038 -0.890
Te 0.698 -3.147 0.105
```

## Properties
ΔE to the lowest computed polymorph (eV/atom): 0.0779
SG: P2_1/m, No. 11
Total energy (eV per cell): -25.9